MgZnPd3 | PBE | relaxed

abc: 9.1140 9.1140 4.2243
angles: 103.32 103.32 89.76
Positions (direct):
Mg 0.1526 0.3284 0.4914
Mg 0.3284 0.1526 0.9914
Mg 0.6716 0.8474 0.0086
Mg 0.8474 0.6716 0.5086
Zn 0.2481 0.7519 0.2500
Zn 0.4202 0.5798 0.7500
Zn 0.5798 0.4202 0.2500
Zn 0.7519 0.2481 0.7500
Pd 0.0317 0.1920 0.8631
Pd 0.1308 0.6273 0.6294
Pd 0.1920 0.0317 0.3631
Pd 0.2871 0.4590 0.1235
Pd 0.3727 0.8692 0.8706
Pd 0.4590 0.2871 0.6235
Pd 0.5410 0.7129 0.3765
Pd 0.6273 0.1308 0.1294
Pd 0.7129 0.5410 0.8765
Pd 0.8080 0.9683 0.6369
Pd 0.8692 0.3727 0.3706
Pd 0.9683 0.8080 0.1369

- E_form (eV per formula unit) = -2.0
- energy relative to the lowest polymorph listed for this composition (meV/atom) = 84


La2ErTmTe6 | PBE | relaxed

abc: 8.3456 8.3456 8.3456
angles: 56.63 56.63 56.63
Positions (direct):
La 0.0000 0.0000 0.0000
La 0.4999 0.4999 0.4999
Er 0.3044 0.3044 0.3044
Tm 0.8045 0.8045 0.8045
Te 0.0748 0.4271 0.6839
Te 0.1829 0.9263 0.5757
Te 0.4271 0.6839 0.0748
Te 0.5757 0.1829 0.9263
Te 0.6839 0.0748 0.4271
Te 0.9263 0.5757 0.1829


Ag2WI | PBE | relaxed

abc: 4.9812 4.9812 4.9812
angles: 60.00 60.00 60.00
Positions (direct):
Ag 0.2500 0.2500 0.2500
Ag 0.7500 0.7500 0.7500
W 0.0000 0.0000 0.0000
I 0.5000 0.5000 0.5000

- energy relative to the lowest polymorph listed for this composition (meV/atom) = 237


KGeAs | PBE | relaxed

abc: 4.3883 6.5393 7.4830
angles: 107.92 90.45 109.58
Positions (direct):
K 0.1069 0.2046 0.2811
K 0.8931 0.7954 0.7189
Ge 0.3543 0.7066 0.0791
Ge 0.6457 0.2934 0.9209
As 0.1871 0.3812 0.7634
As 0.8129 0.6188 0.2366

- E_form (eV per formula unit) = -0.8


Mg4GaPt | PBE | relaxed

abc: 4.5269 4.5269 6.3772
angles: 90.00 90.00 90.00
Positions (direct):
Mg 0.0000 0.5000 0.2392
Mg 0.0000 0.5000 0.7608
Mg 0.5000 0.0000 0.2392
Mg 0.5000 0.0000 0.7608
Ga 0.0000 0.0000 0.5000
Pt 0.5000 0.5000 0.0000

- E_form (eV per formula unit) = -2.0


NaVRe2As | PBE | relaxed

abc: 4.6199 4.6199 4.5943
angles: 90.00 90.00 90.00
Positions (direct):
Na 0.0000 0.0000 0.0000
V 0.5000 0.5000 0.0000
Re 0.0000 0.5000 0.5000
Re 0.5000 0.0000 0.5000
As 0.5000 0.5000 0.5000

- E_form (eV per formula unit) = 7.1


SrH2I2 | PBE | relaxed

abc: 11.2292 8.7154 7.9804
angles: 84.41 50.57 45.02
Positions (direct):
Sr 0.1613 0.1613 0.8387
Sr 0.8387 0.8387 0.1613
H 0.0230 0.9770 0.1708
H 0.1708 0.8292 0.0230
H 0.8292 0.1708 0.9770
H 0.9770 0.0230 0.8292
I 0.2148 0.4782 0.5218
I 0.4782 0.2148 0.7852
I 0.5218 0.7852 0.2148
I 0.7852 0.5218 0.4782

- energy relative to the lowest polymorph listed for this composition (meV/atom) = 59


Sr3Nd2HfAs6 | PBE | relaxed

abc: 7.3552 7.3552 7.6085
angles: 99.33 99.33 120.15
Positions (direct):
Sr 0.0000 0.0000 0.0000
Sr 0.3281 0.6719 0.0000
Sr 0.6719 0.3281 0.0000
Nd 0.1658 0.8342 0.5000
Nd 0.8342 0.1658 0.5000
Hf 0.5000 0.5000 0.5000
As 0.1145 0.4265 0.2787
As 0.2646 0.2646 0.7238
As 0.4265 0.1145 0.2787
As 0.5735 0.8855 0.7213
As 0.7354 0.7354 0.2762
As 0.8855 0.5735 0.7213

- E_form (eV per formula unit) = -13.8


MnIn2P | PBE | relaxed

abc: 3.6134 3.6134 5.9422
angles: 90.00 90.00 90.00
Positions (direct):
Mn 0.0000 0.0000 0.0000
In 0.5000 0.5000 0.2542
In 0.5000 0.5000 0.7458
P 0.0000 0.0000 0.5000

- E_form (eV per formula unit) = 1.4


KBa2GaH | PBE | relaxed

abc: 5.7183 5.7183 5.0894
angles: 90.00 90.00 90.00
Positions (direct):
K 0.0000 0.0000 0.0000
Ba 0.0000 0.5000 0.5000
Ba 0.5000 0.0000 0.5000
Ga 0.5000 0.5000 0.0000
H 0.0000 0.0000 0.5000


PIBr2 | PBE | relaxed

abc: 5.2690 5.2690 5.2690
angles: 60.00 60.00 60.00
Positions (direct):
P 0.0000 0.0000 0.0000
I 0.5000 0.5000 0.5000
Br 0.2500 0.2500 0.2500
Br 0.7500 0.7500 0.7500

- energy relative to the lowest polymorph listed for this composition (meV/atom) = 1158


Pr2PtSe | PBE | relaxed

abc: 7.8496 7.8496 7.8496
angles: 30.95 30.95 30.95
Positions (direct):
Pr 0.0000 0.0000 0.0000
Pr 0.1832 0.1832 0.1832
Pt 0.5917 0.5917 0.5917
Se 0.4241 0.4241 0.4241

- energy relative to the lowest polymorph listed for this composition (meV/atom) = 72


Pm3Be2AlPt9 | PBE | relaxed

abc: 5.8323 5.8323 9.3454
angles: 90.00 90.00 120.00
Positions (direct):
Pm 0.0000 0.0000 0.0000
Pm 0.3333 0.6667 0.6188
Pm 0.6667 0.3333 0.3812
Be 0.3333 0.6667 0.1525
Be 0.6667 0.3333 0.8475
Al 0.0000 0.0000 0.5000
Pt 0.0000 0.5000 0.0000
Pt 0.1641 0.3282 0.3008
Pt 0.1641 0.8359 0.3008
Pt 0.3282 0.1641 0.6992
Pt 0.5000 0.0000 0.0000
Pt 0.5000 0.5000 0.0000
Pt 0.6718 0.8359 0.3008
Pt 0.8359 0.1641 0.6992
Pt 0.8359 0.6718 0.6992

- E_form (eV per formula unit) = -13.1


LiH2W | PBE | relaxed

abc: 4.5587 4.5587 4.5587
angles: 118.08 118.08 93.37
Positions (direct):
Li 0.0000 0.0000 0.0000
Li 0.7500 0.2500 0.5000
H 0.1188 0.6250 0.9938
H 0.3750 0.3688 0.4938
H 0.6312 0.1250 0.0062
H 0.8750 0.8812 0.5062
W 0.2500 0.7500 0.5000
W 0.5000 0.5000 0.0000

- energy relative to the lowest polymorph listed for this composition (meV/atom) = 49


Pm2NiPb | PBE | relaxed

abc: 3.5387 3.5387 8.1531
angles: 90.00 90.00 90.00
Positions (direct):
Pm 0.0000 0.0000 0.2060
Pm 0.0000 0.0000 0.7940
Ni 0.5000 0.5000 0.0000
Pb 0.5000 0.5000 0.5000

- E_form (eV per formula unit) = -1.5


Ac2Ga | PBE | relaxed

abc: 7.3027 7.3027 7.3027
angles: 148.47 148.47 45.19
Positions (direct):
Ac 0.1388 0.1388 0.0000
Ac 0.8612 0.8612 0.0000
Ga 0.5000 0.5000 0.0000

- E_form (eV per formula unit) = -0.8
- energy relative to the lowest polymorph listed for this composition (meV/atom) = 0


AlPt2 | PBE | relaxed

abc: 4.1193 4.1193 4.1193
angles: 60.00 60.00 60.00
Positions (direct):
Al 0.0000 0.0000 0.0000
Pt 0.2500 0.2500 0.2500
Pt 0.7500 0.7500 0.7500

- E_form (eV per formula unit) = -2.5


Ti2NiPt2 | PBE | relaxed

abc: 4.4396 4.4396 4.9315
angles: 92.97 92.97 116.32
Positions (direct):
Ti 0.0384 0.0384 0.2673
Ti 0.9616 0.9616 0.7327
Ni 0.5000 0.5000 0.0000
Pt 0.3272 0.6728 0.5000
Pt 0.6728 0.3272 0.5000

- E_form (eV per formula unit) = -0.7
- energy relative to the lowest polymorph listed for this composition (meV/atom) = 472


Pm8CuHg2 | PBE | relaxed

abc: 9.6213 9.6213 6.9663
angles: 104.07 104.07 31.88
Positions (direct):
Pm 0.0190 0.0190 0.2759
Pm 0.2020 0.2020 0.8117
Pm 0.3433 0.3433 0.5261
Pm 0.4102 0.4102 0.0471
Pm 0.5898 0.5898 0.9529
Pm 0.6567 0.6567 0.4739
Pm 0.7980 0.7980 0.1883
Pm 0.9810 0.9810 0.7241
Cu 0.5000 0.5000 0.5000
Hg 0.1841 0.1841 0.2369
Hg 0.8159 0.8159 0.7631

- E_form (eV per formula unit) = -1.8


Al6Tc | PBE | relaxed

abc: 5.0479 5.0479 9.0118
angles: 90.00 90.00 81.67
Positions (direct):
Al 0.0287 0.6093 0.2500
Al 0.1336 0.8664 0.6003
Al 0.1336 0.8664 0.8997
Al 0.3239 0.3239 0.0000
Al 0.3239 0.3239 0.5000
Al 0.3907 0.9713 0.2500
Al 0.6093 0.0287 0.7500
Al 0.6761 0.6761 0.0000
Al 0.6761 0.6761 0.5000
Al 0.8664 0.1336 0.1003
Al 0.8664 0.1336 0.3997
Al 0.9713 0.3907 0.7500
Tc 0.4560 0.5440 0.7500
Tc 0.5440 0.4560 0.2500

- E_form (eV per formula unit) = -1.9


no.,size of the total moment (μB/cell),DFT total energy (eV/cell)
1,0.0,-81.7
2,0.0,-52.0
3,3.6,-14.3
4,0.0,-22.3
5,0.0,-17.5
6,0.0,-32.9
7,0.0,-32.0
8,0.0,-66.3
9,3.5,-18.7
10,0.0,-12.0
11,0.0,-6.7
12,0.0,-24.6
13,0.0,-92.9
14,0.0,-42.5
15,0.0,-20.5
16,0.0,-12.1
17,0.0,-18.3
18,0.0,-34.4
19,0.0,-44.5
20,0.0,-69.5